No. 1
# PBE YMg2Rh3, optimized geometry
data_YMg2Rh3
_chemical_formula_sum 'Y2 Mg4 Rh6'
_space_group_name_H-M_alt 'P -3 m 1'
_space_group_IT_number 164
_space_group_name_Hall '-P 3 2"'
_cell_length_a 4.5644
_cell_length_b 4.5644
_cell_length_c 11.2478
_cell_angle_alpha 90.00
_cell_angle_beta 90.00
_cell_angle_gamma 120.00
loop_
_atom_site_label
_atom_site_fract_x
_atom_site_fract_y
_atom_site_fract_z
Y1 0.3333 0.6667 0.1724
Mg1 0.0000 0.0000 0.0000
Mg2 0.0000 0.0000 0.5000
Mg3 0.3333 0.6667 0.6570
Rh1 0.0000 0.0000 0.2588
Rh2 0.3333 0.6667 0.4215
Rh3 0.3333 0.6667 0.9165
# Calculated total energy   -5.9069 eV per atom
# Size of the total moment   0.0 μB per formula unit
# E_form   -60.04 kJ per mole of atoms

=====

No. 2
# PBE La2In2Fe, optimized geometry
data_La2In2Fe
_chemical_formula_sum 'La4 In4 Fe2'
_space_group_name_H-M_alt 'P 4/m b m'
_space_group_IT_number 127
_space_group_name_Hall '-P 4 2ab'
_cell_length_a 7.244
_cell_length_b 7.244
_cell_length_c 5.062
_cell_angle_alpha 90.00
_cell_angle_beta 90.00
_cell_angle_gamma 90.00
loop_
_atom_site_label
_atom_site_fract_x
_atom_site_fract_y
_atom_site_fract_z
La1 0.163 0.337 0.000
In1 0.150 0.650 0.500
Fe1 0.000 0.000 0.500
# Calculated total energy   -4.6888 eV per atom
# Size of the total moment   0.1 μB per formula unit
# E_form   6.76 kJ per mole of atoms

=====

> Look up the size of the total moment of the second one.

0.1 μB per formula unit

=====

Copy entry 2 word for word.
# PBE La2In2Fe, optimized geometry
data_La2In2Fe
_chemical_formula_sum 'La4 In4 Fe2'
_space_group_name_H-M_alt 'P 4/m b m'
_space_group_IT_number 127
_space_group_name_Hall '-P 4 2ab'
_cell_length_a 7.244
_cell_length_b 7.244
_cell_length_c 5.062
_cell_angle_alpha 90.00
_cell_angle_beta 90.00
_cell_angle_gamma 90.00
loop_
_atom_site_label
_atom_site_fract_x
_atom_site_fract_y
_atom_site_fract_z
La1 0.163 0.337 0.000
In1 0.150 0.650 0.500
Fe1 0.000 0.000 0.500
# Calculated total energy   -4.6888 eV per atom
# Size of the total moment   0.1 μB per formula unit
# E_form   6.76 kJ per mole of atoms

=====

What did the first record say?
# PBE YMg2Rh3, optimized geometry
data_YMg2Rh3
_chemical_formula_sum 'Y2 Mg4 Rh6'
_space_group_name_H-M_alt 'P -3 m 1'
_space_group_IT_number 164
_space_group_name_Hall '-P 3 2"'
_cell_length_a 4.5644
_cell_length_b 4.5644
_cell_length_c 11.2478
_cell_angle_alpha 90.00
_cell_angle_beta 90.00
_cell_angle_gamma 120.00
loop_
_atom_site_label
_atom_site_fract_x
_atom_site_fract_y
_atom_site_fract_z
Y1 0.3333 0.6667 0.1724
Mg1 0.0000 0.0000 0.0000
Mg2 0.0000 0.0000 0.5000
Mg3 0.3333 0.6667 0.6570
Rh1 0.0000 0.0000 0.2588
Rh2 0.3333 0.6667 0.4215
Rh3 0.3333 0.6667 0.9165
# Calculated total energy   -5.9069 eV per atom
# Size of the total moment   0.0 μB per formula unit
# E_form   -60.04 kJ per mole of atoms